# 1
## SnIrNO (PBE)

Data for a geometry-optimized SnIrNO structure.

Cell and atoms, written as CIF:
```
data_SnIrNO
_chemical_formula_sum 'Sn2 Ir2 N2 O2'
_space_group_name_H-M_alt 'P 4/n m m'
_space_group_IT_number 129
_cell_length_a 4.4855
_cell_length_b 4.4855
_cell_length_c 4.9833
_cell_angle_alpha 90.00
_cell_angle_beta 90.00
_cell_angle_gamma 90.00
loop_
_space_group_symop_operation_xyz
'x,y,z'
'-x,-y,-z'
'-y+1/2,x,z'
'y+1/2,-x,-z'
'-x+1/2,-y+1/2,z'
'x+1/2,y+1/2,-z'
'y,-x+1/2,z'
'-y,x+1/2,-z'
'x+1/2,-y,-z'
'-x+1/2,y,z'
'-y,-x,-z'
'y,x,z'
'-x,y+1/2,-z'
'x,-y+1/2,z'
'y+1/2,x+1/2,-z'
'-y+1/2,-x+1/2,z'
loop_
_atom_site_label
_atom_site_type_symbol
_atom_site_fract_x
_atom_site_fract_y
_atom_site_fract_z
Sn1 Sn 0.2500 0.7500 0.0000
Ir1 Ir 0.2500 0.2500 0.4474
N1 N 0.2500 0.2500 0.8535
O1 O 0.2500 0.7500 0.5000
```

Spin magnetization in μB/f.u.: 0.003
Final energy in eV per atom: -5.99
ρ in Mg/m³: 11.29
Energy above the lowest structure with this stoichiometry in meV/atom: 791

***

# 2
## SrIrNO (PBE)

Data for a geometry-optimized SrIrNO structure.

Cell and atoms, written as CIF:
```
data_SrIrNO
_chemical_formula_sum 'Sr2 Ir2 N2 O2'
_space_group_name_H-M_alt 'P m c 21'
_space_group_IT_number 26
_space_group_name_Hall 'P 2c -2'
_cell_length_a 4.1686
_cell_length_b 3.7465
_cell_length_c 7.5210
_cell_angle_alpha 90.00
_cell_angle_beta 90.00
_cell_angle_gamma 90.00
loop_
_atom_site_label
_atom_site_type_symbol
_atom_site_fract_x
_atom_site_fract_y
_atom_site_fract_z
Sr1 Sr 0.0000 0.0069 0.0000
Ir1 Ir 0.5000 0.4879 0.2496
N1 N 0.5000 0.4978 0.4993
O1 O 0.0000 0.4453 0.7463
```

Spin magnetization in μB/f.u.: 0.007
Final energy in eV per atom: -6.92
ρ in Mg/m³: 8.76
Energy above the lowest structure with this stoichiometry in meV/atom: 0

***

# 3
## SrIrN2O (PBE)

Data for a geometry-optimized SrIrN2O structure.

Cell and atoms, written as CIF:
```
data_SrIrN2O
_chemical_formula_sum 'Sr4 Ir4 N8 O4'
_space_group_name_H-M_alt 'C 1 2/c 1'
_space_group_IT_number 15
_space_group_name_Hall '-C 2yc'
_cell_length_a 10.3254
_cell_length_b 5.2777
_cell_length_c 5.2652
_cell_angle_alpha 90.00
_cell_angle_beta 119.96
_cell_angle_gamma 90.00
loop_
_atom_site_label
_atom_site_type_symbol
_atom_site_fract_x
_atom_site_fract_y
_atom_site_fract_z
Sr1 Sr 0.0000 0.2504 0.2500
Ir1 Ir 0.2500 0.2500 0.0000
N1 N 0.2505 0.0650 0.3158
O1 O 0.0000 0.2494 0.7500
```

Spin magnetization in μB/f.u.: 0.002
Final energy in eV per atom: -6.83
ρ in Mg/m³: 8.65

***

# 4
## SrIrN2O (PBE)

Data for a geometry-optimized SrIrN2O structure.

Cell and atoms, written as CIF:
```
data_SrIrN2O
_chemical_formula_sum 'Sr6 Ir6 N12 O6'
_space_group_name_H-M_alt 'P 1'
_space_group_IT_number 1
_space_group_name_Hall 'P 1'
_cell_length_a 5.5696
_cell_length_b 5.6105
_cell_length_c 14.0716
_cell_angle_alpha 88.79
_cell_angle_beta 87.70
_cell_angle_gamma 61.63
loop_
_atom_site_label
_atom_site_type_symbol
_atom_site_fract_x
_atom_site_fract_y
_atom_site_fract_z
Sr1 Sr 0.0000 0.0000 0.0000
Sr2 Sr 0.0158 0.0303 0.2801
Sr3 Sr 0.3160 0.3640 0.6555
Sr4 Sr 0.3433 0.3439 0.1490
Sr5 Sr 0.6411 0.6940 0.5175
Sr6 Sr 0.6662 0.6848 0.7984
Ir1 Ir 0.3229 0.3673 0.4030
Ir2 Ir 0.3484 0.3164 0.9081
Ir3 Ir 0.6627 0.6580 0.0463
Ir4 Ir 0.6716 0.7092 0.2656
Ir5 Ir 0.9740 0.0211 0.5382
Ir6 Ir 0.9945 0.0431 0.7535
N1 N 0.0342 0.5074 0.3001
N2 N 0.1043 0.6604 0.5015
N3 N 0.1628 0.1493 0.4569
N4 N 0.2198 0.1488 0.8154
N5 N 0.4243 0.7759 0.1638
N6 N 0.4371 0.5486 0.9841
N7 N 0.4663 0.0387 0.0093
N8 N 0.4811 0.5921 0.3537
N9 N 0.5593 0.0681 0.3051
N10 N 0.6178 0.2054 0.5022
N11 N 0.6957 0.1661 0.8392
N12 N 0.9729 0.5042 0.9570
O1 O 0.1955 0.6567 0.7984
O2 O 0.2791 0.9019 0.6414
O3 O 0.8093 0.9079 0.6606
O4 O 0.8357 0.3652 0.6602
O5 O 0.8513 0.3130 0.1318
O6 O 0.8746 0.7795 0.1393
```

Spin magnetization in μB/f.u.: 0.074
Final energy in eV per atom: -6.85
ρ in Mg/m³: 8.35

***

# 5
## SrIrN2O (PBE)

Data for a geometry-optimized SrIrN2O structure.

Cell and atoms, written as CIF:
```
data_SrIrN2O
_chemical_formula_sum 'Sr1 Ir1 N2 O1'
_space_group_name_H-M_alt 'P 4/m m m'
_space_group_IT_number 123
_space_group_name_Hall '-P 4 2'
_cell_length_a 3.8134
_cell_length_b 3.8134
_cell_length_c 4.3767
_cell_angle_alpha 90.00
_cell_angle_beta 90.00
_cell_angle_gamma 90.00
loop_
_atom_site_label
_atom_site_type_symbol
_atom_site_fract_x
_atom_site_fract_y
_atom_site_fract_z
Sr1 Sr 0.0000 0.0000 0.0000
Ir1 Ir 0.5000 0.5000 0.5000
N1 N 0.0000 0.5000 0.5000
O1 O 0.5000 0.5000 0.0000
```

Spin magnetization in μB/f.u.: 0.004
Final energy in eV per atom: -6.80
ρ in Mg/m³: 8.45

***

# 6
## SrIrN2O (PBE)

Data for a geometry-optimized SrIrN2O structure.

Cell and atoms, written as CIF:
```
data_SrIrN2O
_chemical_formula_sum 'Sr1 Ir1 N2 O1'
_space_group_name_H-M_alt 'P 4 m m'
_space_group_IT_number 99
_space_group_name_Hall 'P 4 -2'
_cell_length_a 3.8081
_cell_length_b 3.8081
_cell_length_c 4.4051
_cell_angle_alpha 90.00
_cell_angle_beta 90.00
_cell_angle_gamma 90.00
loop_
_atom_site_label
_atom_site_type_symbol
_atom_site_fract_x
_atom_site_fract_y
_atom_site_fract_z
Sr1 Sr 0.0000 0.0000 0.0000
Ir1 Ir 0.5000 0.5000 0.4969
N1 N 0.0000 0.5000 0.4985
O1 O 0.5000 0.5000 0.9988
```

Spin magnetization in μB/f.u.: 0.002
Final energy in eV per atom: -6.81
ρ in Mg/m³: 8.42